Density functional theory data (PBE) for a geometry-optimized Li2AsRh structure.

Computed properties:
ΔH_f (0 K)	-0.516	eV per atom
calculated total energy	-4.474	eV per atom
mass density	5.6	g/cm3
volume	57.0	Å³ per cell

a b c (Å): 4.5901 4.5901 4.4783
angles (deg): 71.76 71.76 39.84
Positions (direct):
Li  0.7503  0.7503  0.7896
Rh  0.5144  0.5144  0.4281
As  0.2431  0.2431  0.3218
Li  0.9922  0.9922  0.9605

Density functional theory data (PBE) for a geometry-optimized LiAsRh2 structure.

Computed properties:
ΔH_f (0 K)	-0.266	eV per atom
calculated total energy	-5.583	eV per atom
mass density	8.7	g/cm3
volume	55.1	Å³ per cell

a b c (Å): 3.1807 3.1807 5.4453
angles (deg): 90.00 90.00 90.00
Positions (direct):
Rh  0.5000  0.5000  0.2808
As  0.0000  0.0000  0.4996
Li  0.5000  0.5000  0.7601
Rh  0.0000  0.0000  0.9595